[1]
MnCdIn2: optimized geometry, PBE.

Calculated values
E_form in kJ/mol of atoms: 21.0
DOS(E_F) in states/eV/f.u.: 2.496
Final energy in Ha/atom: -0.1350

a b c (Å): 3.1980 3.1980 29.5924
angles (deg): 90.00 90.00 120.00
Space group R3m (No. 160, hexagonal axes)
Asymmetric unit:
Mn: 0.0000 0.0000 0.0000 x3
Cd: 0.0000 0.0000 0.7407 x3
In: 0.0000 0.0000 0.2591 x3
In: 0.0000 0.0000 0.4987 x3

=====

[2]
LiSm8Sb6: optimized geometry, PBE.

Calculated values
DOS(E_F) in states/eV/f.u.: 11.294
Final energy in Ha/atom: -0.1889
Raw formation energy in eV/atom: -0.8455

a b c (Å): 9.2698 9.2698 19.0516
angles (deg): 90.00 90.00 120.00
Space group R-3 (No. 148, hexagonal axes)
Asymmetric unit:
Li: 0.0000 0.0000 0.0000 x3
Sm: 0.0000 0.0000 0.3313 x6
Sm: 0.0044 0.2918 0.0931 x18
Sb: 0.0028 0.3684 0.9245 x18